[1]
YAs2Ir: optimized geometry, GGA-PBEsol.

Results
For the calculated formation energy, the calculation gives -0.557 eV/atom. For the calculated density, the calculation gives 8.66 g cm⁻³. The symmetry is Pm, No. 6.

abc: 4.1980 4.2503 4.6854
angles: 90.00 98.78 90.00
Fractional positions:
1 As 0.6243 0.5000 0.2581
2 As 0.9078 0.0000 0.0187
3 Y 0.2473 0.5000 0.7100
4 Ir 0.7206 0.0000 0.5131



[2]
Sr2PbSe: optimized geometry, GGA-PBEsol.

Results
The calculation puts the energy relative to the elements, uncorrected at -0.96 eV/atom. For the calculated density, the calculation gives 5.68 g cm⁻³. The symmetry is Pmm2, No. 25.

abc: 4.2758 4.8606 6.4881
angles: 90.00 90.00 90.00
Fractional positions:
1 Sr 0.6257 0.3747 0.5000
2 Sr 0.1244 0.8753 0.0000
3 Se 0.1256 0.8747 0.5000
4 Pb 0.6243 0.3753 0.0000



[3]
KLiIr: optimized geometry, GGA-PBEsol.

Results
For the calculated formation energy, the calculation gives 1.165 eV/atom. For the calculated density, the calculation gives 5.75 g cm⁻³. The symmetry is F-43m, No. 216.

abc: 4.6007 4.6007 4.6007
angles: 60.00 60.00 60.00
Each line ends with the local moment (μB).
Fractional positions:
1 Li 0.2500 0.2500 0.2500  -0.01
2 Ir 0.0000 0.0000 0.0000  1.02
3 K 0.5000 0.5000 0.5000  -0.01



[4]
KSiRu2Br: optimized geometry, GGA-PBEsol.

Results
The calculation puts the energy relative to the elements, uncorrected at 2.56 eV/atom. For the calculated density, the calculation gives 5.06 g cm⁻³. The symmetry is P4/mmm, No. 123.

abc: 4.6308 4.6308 5.3408
angles: 90.00 90.00 90.00
Each line ends with the local moment (μB).
Fractional positions:
1 K 0.0000 0.0000 0.0000  0.02
2 Si 0.5000 0.5000 0.5000  -0.06
3 Ru 0.0000 0.5000 0.0000  1.47
4 Br 0.0000 0.0000 0.5000  0.06
5 Ru 0.5000 0.0000 0.0000  1.47



[5]
Cs2LiMoCl6: optimized geometry, GGA-PBEsol.

Results
The calculation puts the energy relative to the elements, uncorrected at -1.53 eV/atom. For the calculated density, the calculation gives 3.77 g cm⁻³. The symmetry is Fm-3m, No. 225.

abc: 7.1255 7.1255 7.1255
angles: 60.00 60.00 60.00
Each line ends with the local moment (μB).
Fractional positions:
1 Cs 0.7500 0.7500 0.7500  0.00
2 Cl 0.7584 0.2416 0.7584  0.03
3 Mo 0.0000 0.0000 0.0000  2.46
4 Cl 0.2416 0.7584 0.7584  0.03
5 Cl 0.2416 0.7584 0.2416  0.03
6 Cl 0.2416 0.2416 0.7584  0.03
7 Cs 0.2500 0.2500 0.2500  0.00
8 Cl 0.7584 0.7584 0.2416  0.03
9 Cl 0.7584 0.2416 0.2416  0.03
10 Li 0.5000 0.5000 0.5000  0.00



[6]
AsIr2Ru: optimized geometry, GGA-PBEsol.

Results
For the calculated formation energy, the calculation gives 0.154 eV/atom. For the calculated density, the calculation gives 16.38 g cm⁻³. The symmetry is R-3m, No. 166.

abc: 2.7795 2.7795 8.6424
angles: 80.75 80.75 60.00
Fractional positions:
1 Ru 0.5000 0.5000 0.5000
2 As 0.0000 0.0000 0.0000
3 Ir 0.7489 0.7489 0.7534
4 Ir 0.2511 0.2511 0.2466



[7]
BeNb2O: optimized geometry, GGA-PBEsol.

Results
The calculation puts the energy relative to the elements, uncorrected at -0.15 eV/atom. For the calculated density, the calculation gives 5.67 g cm⁻³. The symmetry is I-42d, No. 122.

abc: 4.7309 4.7309 6.4489
angles: 111.52 111.52 90.00
Fractional positions:
1 Nb 0.1250 0.0616 0.7500
2 Nb 0.3116 0.8750 0.2500
3 O 0.2500 0.7500 0.5000
4 Be 0.5000 0.5000 0.0000
5 O 0.0000 0.0000 0.0000
6 Be 0.7500 0.2500 0.5000
7 Nb 0.9384 0.3750 0.2500
8 Nb 0.6250 0.6884 0.7500



[8]
SrIn2Pd: optimized geometry, GGA-PBEsol.

Results
For the calculated formation energy, the calculation gives -0.630 eV/atom. For the calculated density, the calculation gives 7.42 g cm⁻³. The symmetry is Cmcm, No. 63.

abc: 4.5082 5.8138 7.8528
angles: 90.00 90.00 112.81
Fractional positions:
1 Sr 0.5617 0.1234 0.7500
2 Sr 0.4383 0.8766 0.2500
3 In 0.1505 0.3011 0.0545
4 In 0.8495 0.6989 0.9455
5 Pd 0.7192 0.4383 0.2500
6 In 0.8495 0.6989 0.5545
7 In 0.1505 0.3011 0.4455
8 Pd 0.2808 0.5617 0.7500



[9]
ZrHg2: optimized geometry, GGA-PBEsol.

Results
For the calculated formation energy, the calculation gives -0.218 eV/atom. For the calculated density, the calculation gives 13.25 g cm⁻³. The symmetry is I4/mmm, No. 139.

abc: 3.1583 3.1583 6.5772
angles: 103.89 103.89 90.00
Fractional positions:
1 Hg 0.3354 0.3354 0.6708
2 Zr 0.0000 0.0000 0.0000
3 Hg 0.6646 0.6646 0.3292



[10]
Ba2LaSc: optimized geometry, GGA-PBEsol.

Results
For the calculated formation energy, the calculation gives 0.224 eV/atom. For the calculated density, the calculation gives 4.90 g cm⁻³. The symmetry is R3m, No. 160.

abc: 3.7935 3.7935 12.6674
angles: 81.39 81.39 60.00
Fractional positions:
1 Ba 0.9898 0.9898 0.0305
2 La 0.5107 0.5107 0.4680
3 Sc 0.2449 0.2449 0.2653
4 Ba 0.7546 0.7546 0.7362



[11]
TaTlP2Cl: optimized geometry, GGA-PBEsol.

Results
The calculation puts the energy relative to the elements, uncorrected at 1.59 eV/atom. For the calculated density, the calculation gives 6.68 g cm⁻³. The symmetry is P4/mmm, No. 123.

abc: 4.9571 4.9215 4.9215
angles: 90.00 90.00 90.00
Each line ends with the local moment (μB).
Fractional positions:
1 Cl 0.5000 0.0000 0.0000  -0.04
2 P 0.0000 0.0000 0.5000  -0.15
3 Tl 0.0000 0.0000 0.0000  0.00
4 P 0.0000 0.5000 0.0000  -0.15
5 Ta 0.5000 0.5000 0.5000  1.61



[12]
Rb3GeW: optimized geometry, GGA-PBEsol.

Results
For the calculated formation energy, the calculation gives 1.701 eV/atom. For the calculated density, the calculation gives 2.98 g cm⁻³. The symmetry is Pm-3m, No. 221.

abc: 6.5877 6.5877 6.5877
angles: 90.00 90.00 90.00
Each line ends with the local moment (μB).
Fractional positions:
1 Ge 0.0000 0.0000 0.0000  -0.66
2 Rb 0.5000 0.0000 0.0000  -0.03
3 Rb 0.0000 0.5000 0.0000  -0.03
4 Rb 0.0000 0.0000 0.5000  -0.03
5 W 0.5000 0.5000 0.5000  3.45



The highest calculated density belongs to which entry?
AsIr2Ru